VASP calculation (GGA-PBEsol) on a relaxed Li2MgMn3O8 crystal.

Cell: 5.702 5.702 5.848 Å, 60.82 60.82 60.00°
Positions (direct):
Li1 0.116 0.116 0.651
Li2 0.884 0.884 0.349
Mg1 0.500 0.500 0.500
Mn1 0.500 0.500 0.000
Mn2 0.000 0.500 0.000
Mn3 0.500 0.000 0.000
O1 0.263 0.263 0.210
O2 0.252 0.709 0.786
O3 0.709 0.252 0.786
O4 0.252 0.252 0.786
O5 0.748 0.748 0.214
O6 0.291 0.748 0.214
O7 0.748 0.291 0.214
O8 0.737 0.737 0.790

## Properties
The calculation puts the total magnetization at 0.64 μB/atom. The calculated volume comes out at 136 Å³ per cell. As for the energy: -7.480 eV per atom. For the uncorrected formation energy, the calculation gives -1.99 eV per atom. As for the space group: R-3m (166).